[1]
Compound: Zn3HO
Source: the Alexandria database
Functional: PBE
Structure: relaxed

ΔE to the lowest computed polymorph (kJ per mole of atoms): 0.00

Unit cell a=3.918 b=3.918 c=3.918 alpha=90.00 beta=90.00 gamma=90.00
Fractional coordinates of all 5 atoms:
Zn 0.000 0.000 0.500
Zn 0.000 0.500 0.000
Zn 0.500 0.000 0.000
H 0.000 0.000 0.000
O 0.500 0.500 0.500


[2]
Compound: ZnHO
Source: the Alexandria database
Functional: PBE
Structure: relaxed

ΔE to the lowest computed polymorph (kJ per mole of atoms): 29.31

Unit cell a=4.953 b=4.953 c=4.953 alpha=146.59 beta=146.59 gamma=47.97
Fractional coordinates of all 3 atoms:
Zn 0.000 0.000 0.000
H 0.290 0.290 0.000
O 0.400 0.400 0.000


Computed energy (eV/atom) in order:
-2.109; -3.793
Computed total moment (μB/f.u.) in order:
0.00; 0.00